# 1
Material: YCoSnW
Method: DFT, PBE-GGA
State: optimized geometry

The structure belongs to space group F-43m (No. 216); the cell edges are 6.670, 6.670 and 6.670 Å and the angles 90.00°, 90.00° and 90.00°. The inequivalent atoms are Y at (0.000, 0.000, 0.000), Co at (0.250, 0.250, 0.750), Sn at (0.000, 0.000, 0.500) and W at (0.250, 0.250, 0.250).

For the total energy, the calculation gives -28.76 eV per formula unit. The energy above the lowest structure with this stoichiometry comes out at 0 meV/atom.

---

# 2
Material: Rb2AgSbCl6
Method: DFT, PBE-GGA
State: optimized geometry

The structure belongs to space group I4/m (No. 87); the cell edges are 7.401, 7.401 and 10.885 Å and the angles 90.00°, 90.00° and 90.00°. The inequivalent atoms are Rb at (0.000, 0.500, 0.250), Ag at (0.000, 0.000, 0.000), Sb at (0.000, 0.000, 0.500), Cl at (0.000, 0.000, 0.254) and Cl at (0.188, 0.692, 0.500).

For the total energy, the calculation gives -32.55 eV per formula unit. The energy above the lowest structure with this stoichiometry comes out at 3 meV/atom.

---

# 3
Material: PmSn2
Method: DFT, PBE-GGA
State: optimized geometry

The structure belongs to space group Fd-3m (No. 227, origin choice 2); the cell edges are 14.225, 14.225 and 14.225 Å and the angles 90.00°, 90.00° and 90.00°. The inequivalent atoms are Pm at (0.125, 0.125, 0.125) and Sn at (0.000, 0.000, 0.000).

For the total energy, the calculation gives -9.12 eV per formula unit. The energy above the lowest structure with this stoichiometry comes out at 1848 meV/atom.

---

# 4
Material: KPdPt
Method: DFT, PBE-GGA
State: optimized geometry

The structure belongs to space group F-43m (No. 216); the cell edges are 6.597, 6.597 and 6.597 Å and the angles 90.00°, 90.00° and 90.00°. The inequivalent atoms are K at (0.000, 0.000, 0.000), Pd at (0.250, 0.250, 0.250) and Pt at (0.000, 0.000, 0.500).

For the total energy, the calculation gives -10.58 eV per formula unit. The energy above the lowest structure with this stoichiometry comes out at 0 meV/atom.